# VCrGaOs2

A relaxed VCrGaOs2 crystal (GGA-PBE, the Alexandria database).

Cell and atoms, written as POSCAR:
```
VCrGaOs2
1.0
4.449 0.000 0.000
0.000 4.369 0.000
0.000 0.000 4.449
V Os Cr Ga
1 2 1 1
direct
0.000 0.500 0.000
0.000 0.000 0.500
0.500 0.000 0.000
0.500 0.500 0.500
0.000 0.000 0.000
```

Computed properties:
As for the space-group type: P4/mmm. The formation energy is 1.790 eV/atom. The mass density is 10.6 g/cm³.


# VCrGa2Os

A relaxed VCrGa2Os crystal (GGA-PBE, the Alexandria database).

Cell and atoms, written as POSCAR:
```
VCrGa2Os
1.0
-1.514 3.780 2.158
0.347 -2.079 3.886
4.338 1.500 0.415
Os Ga V Cr
1 2 1 1
direct
0.000 0.500 0.000
0.500 0.000 0.000
0.000 0.000 0.500
0.000 0.000 0.000
0.500 0.500 0.500
```

Computed properties:
As for the space-group type: P4/mmm. The formation energy is 1.420 eV/atom. The mass density is 7.7 g/cm³.


# ZnCrGa2Os

A relaxed ZnCrGa2Os crystal (GGA-PBE, the Alexandria database).

Cell and atoms, written as POSCAR:
```
ZnCrGa2Os
1.0
-1.639 -3.992 1.700
3.814 -0.608 2.248
-1.777 2.275 3.630
Ga Zn Cr Os
2 1 1 1
direct
0.500 0.000 0.000
0.000 0.000 0.500
0.500 0.500 0.500
0.000 0.000 0.000
0.000 0.500 0.000
```

Computed properties:
As for the space-group type: P4/mmm. The formation energy is 0.918 eV/atom. The mass density is 7.7 g/cm³.


# CrGaP2

A relaxed CrGaP2 crystal (GGA-PBE, the Alexandria database).

Cell and atoms, written as POSCAR:
```
CrGaP2
1.0
5.509 0.000 0.000
0.000 5.509 0.000
2.755 2.755 5.364
Cr P Ga
2 4 2
direct
0.500 0.500 0.000
0.250 0.750 0.500
0.875 0.867 0.750
0.375 0.383 0.750
0.133 0.625 0.250
0.617 0.125 0.250
0.750 0.250 0.500
0.000 0.000 0.000
```

Computed properties:
As for the space-group type: I-42d. The formation energy is -0.093 eV/atom. The mass density is 3.7 g/cm³.


# CrGa3P

A relaxed CrGa3P crystal (GGA-PBE, the Alexandria database).

Cell and atoms, written as POSCAR:
```
CrGa3P
1.0
4.689 0.000 0.000
0.000 4.689 0.000
0.000 0.000 4.689
Ga P Cr
3 1 1
direct
0.500 0.000 0.000
0.000 0.500 0.000
0.000 0.000 0.500
0.000 0.000 0.000
0.500 0.500 0.500
```

Computed properties:
As for the space-group type: Pm-3m. As for the excess energy over the best structure of this formula in the dataset: 34.0 kJ/mol of atoms. The formation energy is 1.075 eV/atom. The mass density is 4.7 g/cm³.


# CrGa7P8

A relaxed CrGa7P8 crystal (GGA-PBE, the Alexandria database).

Cell and atoms, written as POSCAR:
```
CrGa7P8
1.0
-3.797 -0.514 3.942
3.296 -3.455 2.724
4.433 8.466 5.373
Ga Cr P
7 1 8
direct
0.000 0.500 0.249
0.500 0.500 0.000
0.000 0.000 0.500
0.500 0.000 0.249
0.500 0.500 0.500
0.000 0.500 0.751
0.500 0.000 0.751
0.000 0.000 0.000
0.247 0.247 0.122
0.250 0.250 0.625
0.250 0.750 0.375
0.753 0.753 0.122
0.247 0.753 0.878
0.750 0.250 0.375
0.750 0.750 0.625
0.753 0.247 0.878
```

Computed properties:
As for the space-group type: P-42m. The formation energy is -0.314 eV/atom. The mass density is 3.9 g/cm³.


# CrGa3P

A relaxed CrGa3P crystal (GGA-PBE, the Alexandria database).

Cell and atoms, written as POSCAR:
```
CrGa3P
1.0
-1.142 -0.600 -4.606
1.516 -4.532 0.215
-4.390 -1.408 1.272
P Ga Cr
1 3 1
direct
0.500 0.500 0.500
0.000 0.500 0.000
0.000 0.000 0.500
0.500 0.000 0.000
0.000 0.000 0.000
```

Computed properties:
As for the space-group type: Pm-3m. As for the excess energy over the best structure of this formula in the dataset: 0.0 kJ/mol of atoms. The formation energy is 0.723 eV/atom. The mass density is 4.4 g/cm³.


# Cr2Ga2P

A relaxed Cr2Ga2P crystal (GGA-PBE, the Alexandria database).

Cell and atoms, written as POSCAR:
```
Cr2Ga2P
1.0
-4.038 -1.486 4.150
0.098 -5.657 -1.930
2.924 -0.820 2.551
Cr Ga P
4 4 2
direct
0.342 0.842 0.000
0.158 0.342 0.000
0.842 0.658 0.000
0.658 0.158 0.000
0.847 0.347 0.500
0.347 0.153 0.500
0.653 0.847 0.500
0.153 0.653 0.500
0.000 0.000 0.000
0.500 0.500 0.000
```

Computed properties:
As for the space-group type: P4/mbm. The formation energy is -0.089 eV/atom. The mass density is 6.4 g/cm³.


Which calculated volume belongs to each record? In order, 17.3 18.8 19.2 20.4 20.6 20.7 21.9 14.2 Å³/atom.
Which total magnetic moment belongs to each record? In order, 1.14 0.35 0.00 6.00 0.47 3.00 3.79 5.33 μB/cell.